1.
Compound: RuAu2Se
Source: Alexandria via LeMat-Bulk
Functional: PBE-GGA
Structure: relaxed

abc: 6.5511 6.5511 4.0915
angles: 99.48 99.48 25.83
Atoms (fractional coordinates):
Ru (0.0000, 0.0000, 0.0000)
Au (0.3074, 0.3074, 0.7812)
Au (0.6926, 0.6926, 0.2188)
Se (0.5000, 0.5000, 0.5000)

* mass density: 12.64 g/cm³
* D(E_F): 2.95 states/eV/f.u.


2.
Compound: Ru3AuSe
Source: Alexandria via LeMat-Bulk
Functional: PBE-GGA
Structure: relaxed

abc: 4.9297 4.9297 4.9297
angles: 90.00 90.00 90.00
Atoms (fractional coordinates):
Ru (0.0000, 0.0000, 0.5000)
Ru (0.0000, 0.5000, 0.0000)
Ru (0.5000, 0.0000, 0.0000)
Au (0.0000, 0.0000, 0.0000)
Se (0.5000, 0.5000, 0.5000)

* energy above the lowest structure with this stoichiometry: 1.109 eV/atom
* mass density: 8.03 g/cm³
* D(E_F): 5.93 states/eV/f.u.


3.
Compound: RuAu4Se
Source: Alexandria via LeMat-Bulk
Functional: PBE-GGA
Structure: relaxed

abc: 5.4949 5.4949 5.4949
angles: 60.00 60.00 60.00
Atoms (fractional coordinates):
Ru (0.0000, 0.0000, 0.0000)
Au (0.3749, 0.3749, 0.3749)
Au (0.3749, 0.3749, 0.8754)
Au (0.3749, 0.8754, 0.3749)
Au (0.8754, 0.3749, 0.3749)
Se (0.7500, 0.7500, 0.7500)

* mass density: 13.70 g/cm³
* D(E_F): 6.20 states/eV/f.u.


4.
Compound: Ru2AuSe
Source: Alexandria via LeMat-Bulk
Functional: PBE-GGA
Structure: relaxed

abc: 3.0317 3.0317 6.7430
angles: 90.00 90.00 90.00
Atoms (fractional coordinates):
Ru (0.0000, 0.0000, 0.2170)
Ru (0.0000, 0.0000, 0.7830)
Au (0.5000, 0.5000, 0.5000)
Se (0.5000, 0.5000, 0.0000)

* mass density: 12.81 g/cm³
* D(E_F): 5.08 states/eV/f.u.


5.
Compound: Ru2AuSe
Source: Alexandria via LeMat-Bulk
Functional: PBE-GGA
Structure: relaxed

abc: 3.0721 3.9510 5.4715
angles: 90.00 105.14 90.00
Atoms (fractional coordinates):
Ru (0.1387, 0.0000, 0.2754)
Ru (0.8613, 0.0000, 0.7246)
Au (0.5000, 0.5000, 0.0000)
Se (0.0000, 0.5000, 0.5000)

* mass density: 12.38 g/cm³
* D(E_F): 3.69 states/eV/f.u.


6.
Compound: Sn2RuAuSe
Source: Alexandria via LeMat-Bulk
Functional: PBE-GGA
Structure: relaxed

abc: 5.0746 5.0746 5.1188
angles: 90.00 90.00 90.00
Atoms (fractional coordinates):
Sn (0.0000, 0.5000, 0.0000)
Sn (0.5000, 0.0000, 0.0000)
Ru (0.0000, 0.0000, 0.0000)
Au (0.0000, 0.0000, 0.5000)
Se (0.5000, 0.5000, 0.5000)

* mass density: 7.74 g/cm³
* D(E_F): 5.98 states/eV/f.u.


For reference, raw formation energy by record: 320; 2116; 621; 338; 420; 409 meV/atom.